(1)
Material: YSc2Al
Method: DFT, SCAN
State: PBEsol geometry

Summary:
Formation energy: -241 meV/atom
N(E_F): 3.82 states/eV/f.u.
Crystal system: orthorhombic
Total energy: -16.258 eV per atom

Unit cell a=3.4905 b=5.0556 c=6.1046 alpha=114.46 beta=106.61 gamma=90.00
Closest atoms and distances in Å follow each position.
Fractional coordinates of all 4 atoms:
Y  0.0000  0.5000  0.0000  4 Al 3.07, 8 Sc 3.43
Sc  0.7801  0.7801  0.5603  2 Al 2.90, 4 Sc 3.14
Sc  0.2199  0.2199  0.4397  2 Al 2.90, 4 Sc 3.14
Al  0.5000  0.0000  0.0000  4 Sc 2.90, 4 Y 3.07



(2)
Material: YSc2Al
Method: DFT, SCAN
State: PBEsol geometry

Summary:
Formation energy: -127 meV/atom
N(E_F): 3.90 states/eV/f.u.
Crystal system: cubic
Total energy: -16.145 eV per atom

Unit cell a=5.0377 b=5.0377 c=5.0377 alpha=60.00 beta=60.00 gamma=60.00
Closest atoms and distances in Å follow each position.
Fractional coordinates of all 4 atoms:
Y  0.2500  0.2500  0.2500  4 Sc 3.08, 4 Al 3.08
Sc  0.0000  0.0000  0.0000  4 Sc 3.08, 4 Y 3.08
Sc  0.7500  0.7500  0.7500  4 Sc 3.08, 4 Al 3.08
Al  0.5000  0.5000  0.5000  4 Sc 3.08, 4 Y 3.08